CoRu2W after structural relaxation, computed with PBEsol.

Cell and atoms, written as CIF:
```
data_CoRu2W
_chemical_formula_sum 'Co1 Ru2 W1'
_space_group_name_H-M_alt 'P 1'
_space_group_IT_number 1
_space_group_name_Hall 'P 1'
_cell_length_a 3.7346
_cell_length_b 3.7346
_cell_length_c 4.5805
_cell_angle_alpha 114.06
_cell_angle_beta 114.06
_cell_angle_gamma 90.00
loop_
_atom_site_label
_atom_site_type_symbol
_atom_site_fract_x
_atom_site_fract_y
_atom_site_fract_z
Ru1 Ru 0.7500 0.2500 0.5000
Ru2 Ru 0.0000 0.0000 0.0000
W1 W 0.5000 0.5000 0.0000
Co1 Co 0.2500 0.7500 0.5000
```

Its calculated density is 14.153 g cm⁻³. The value obtained for the formation energy from the elements is 0.0156 eV/atom. As for the space-group type: I-4m2. For the energy above the most stable polymorph in this dataset, the calculation gives 0.0458 eV/atom.